This record from Alexandria via LeMat-Bulk describes crystalline MgCd6HgPb at its relaxed geometry. The functional is GGA-PBE.

Cell and atoms, written as extended XYZ:
```
18
Lattice="-3.9458 5.1402 5.8649 3.9458 -5.1402 5.8649 3.9458 5.1402 -5.8649" Properties=species:S:1:pos:R:3 pbc="T T T"
Mg -1.9729 2.5701 2.9324
Mg 1.9729 2.5701 2.9324
Cd 1.4633 -0.1346 1.5438
Cd 6.4283 -0.1346 1.5438
Cd 0.0000 2.5701 0.3489
Cd 3.9458 2.5701 0.8675
Cd 1.4633 5.0056 -1.5438
Cd 2.4825 -0.1346 4.3210
Cd 1.4633 5.2749 1.5438
Cd 2.4825 0.1346 7.4087
Cd 0.0000 2.5701 4.9974
Cd 3.9458 2.5701 5.5160
Cd -2.4825 5.2749 4.3210
Cd 2.4825 5.2749 4.3210
Hg 3.9458 0.0000 0.0000
Hg 0.0000 0.0000 5.8649
Pb 3.9458 2.5701 -2.6457
Pb 0.0000 2.5701 8.5106
```

Volume (Å³/cell): 475.8
Symmetry: Imma (74)
Energy relative to the elements (meV per atom): 91
Electronic total energy (eV per atom): -1.142
Mass density (g/cm3): 7.72
DOS at the Fermi energy (states/eV per cell): 5.46